Entry 1:
Computed, not measured: a relaxed structure of Sm3Mg2Ga3 at the GGA-PBE level of DFT.

ΔE_f ... -0.402 eV/atom
Symmetry ... No. 193
Size of the total moment ... 0.0 Bohr magnetons per cell
Fermi-level density of states ... 1.124 states/eV per atom
V ... 25.01 Å³/atom

Structure (extended XYZ):
```
16
Lattice="8.759 0.000 0.000 -4.380 7.586 0.000 0.000 0.000 6.022" Properties=species:S:1:pos:R:3 pbc="T T T"
Sm -1.254 2.172 1.506
Sm -3.126 5.414 4.517
Sm 2.507 0.000 1.506
Sm 1.254 2.172 4.517
Sm 6.252 0.000 4.517
Sm 3.126 5.414 1.506
Mg 0.000 5.057 0.000
Mg 0.000 5.057 3.011
Mg 4.380 2.529 0.000
Mg 4.380 2.529 3.011
Ga -1.633 2.829 4.517
Ga -2.746 4.756 1.506
Ga 3.267 0.000 4.517
Ga 1.633 2.829 1.506
Ga 5.492 0.000 1.506
Ga 2.746 4.756 4.517
```

Entry 2:
Computed, not measured: a relaxed structure of Sm8Mg2Ga at the GGA-PBE level of DFT.

ΔE_f ... -0.053 eV/atom
Symmetry ... No. 12
Size of the total moment ... 0.0 Bohr magnetons per cell
Fermi-level density of states ... 1.145 states/eV per atom
V ... 30.67 Å³/atom

Structure (extended XYZ):
```
11
Lattice="9.153 -2.701 0.000 9.153 2.701 0.000 -1.983 0.000 6.822" Properties=species:S:1:pos:R:3 pbc="T T T"
Sm -0.196 0.000 1.837
Sm 2.052 0.000 5.324
Sm 5.171 0.000 3.715
Sm 7.343 0.000 0.361
Sm 8.980 0.000 6.461
Sm 11.152 0.000 3.107
Sm 14.271 0.000 1.498
Sm 16.519 0.000 4.986
Mg 2.983 0.000 1.455
Mg 13.340 0.000 5.368
Ga 8.161 0.000 3.411
```

Entry 3:
Computed, not measured: a relaxed structure of SmMgGa at the GGA-PBE level of DFT.

ΔE_f ... -0.370 eV/atom
Symmetry ... No. 216
Size of the total moment ... 0.0 Bohr magnetons per cell
Fermi-level density of states ... 0.202 states/eV per atom
V ... 26.29 Å³/atom
E above lowest polymorph ... 129 meV/atom

Structure (extended XYZ):
```
3
Lattice="0.000 3.404 3.404 3.404 0.000 3.404 3.404 3.404 0.000" Properties=species:S:1:pos:R:3 pbc="T T T"
Sm 0.000 0.000 0.000
Mg 3.404 3.404 3.404
Ga 5.105 5.105 5.105
```

Entry 4:
Computed, not measured: a relaxed structure of Sm2Mg3Ga2 at the GGA-PBE level of DFT.

ΔE_f ... -0.348 eV/atom
Symmetry ... No. 12
Size of the total moment ... 0.0 Bohr magnetons per cell
Fermi-level density of states ... 0.649 states/eV per atom
V ... 24.44 Å³/atom

Structure (extended XYZ):
```
7
Lattice="5.468 -2.221 0.000 5.468 2.221 0.000 -0.692 0.000 7.044" Properties=species:S:1:pos:R:3 pbc="T T T"
Sm 1.151 0.000 2.439
Sm 9.093 0.000 4.605
Mg 1.347 0.000 6.025
Mg 5.468 0.000 0.000
Mg 8.897 0.000 1.019
Ga 4.244 0.000 2.593
Ga 5.999 0.000 4.451
```

Entry 5:
Computed, not measured: a relaxed structure of Sm2MgGa6 at the GGA-PBE level of DFT.

ΔE_f ... -0.338 eV/atom
Symmetry ... No. 71
Size of the total moment ... 0.0 Bohr magnetons per cell
Fermi-level density of states ... 0.432 states/eV per atom
V ... 22.49 Å³/atom

Structure (extended XYZ):
```
9
Lattice="-2.201 3.378 6.807 2.201 -3.378 6.807 2.201 3.378 -6.807" Properties=species:S:1:pos:R:3 pbc="T T T"
Sm 0.000 0.000 1.658
Sm 0.000 0.000 11.957
Mg 0.000 3.378 0.000
Ga 2.201 2.055 -2.560
Ga 2.201 1.440 0.000
Ga 2.201 2.055 2.560
Ga 0.000 1.323 4.248
Ga 0.000 1.938 6.807
Ga 0.000 1.323 9.367
```

Entry 6:
Computed, not measured: a relaxed structure of SmMg2Ga6 at the GGA-PBE level of DFT.

ΔE_f ... -0.269 eV/atom
Symmetry ... No. 191
Size of the total moment ... 0.0 Bohr magnetons per cell
Fermi-level density of states ... 0.360 states/eV per atom
V ... 19.79 Å³/atom
E above lowest polymorph ... 0 meV/atom

Structure (extended XYZ):
```
9
Lattice="7.823 0.000 0.000 -3.911 6.775 0.000 0.000 0.000 3.361" Properties=species:S:1:pos:R:3 pbc="T T T"
Sm 0.000 0.000 0.000
Mg 0.000 4.516 0.000
Mg 3.911 2.258 0.000
Ga -1.324 2.294 1.681
Ga -2.587 4.481 1.681
Ga 2.649 0.000 1.681
Ga 1.324 2.294 1.681
Ga 5.174 0.000 1.681
Ga 2.587 4.481 1.681
```

Entry 7:
Computed, not measured: a relaxed structure of SmMgGa4 at the GGA-PBE level of DFT.

ΔE_f ... -0.293 eV/atom
Symmetry ... No. 216
Size of the total moment ... 0.0 Bohr magnetons per cell
Fermi-level density of states ... 0.628 states/eV per atom
V ... 20.06 Å³/atom
E above lowest polymorph ... 111 meV/atom

Structure (extended XYZ):
```
6
Lattice="0.000 3.919 3.919 3.919 0.000 3.919 3.919 3.919 0.000" Properties=species:S:1:pos:R:3 pbc="T T T"
Sm 0.000 0.000 0.000
Mg 5.878 5.878 5.878
Ga 2.937 2.937 2.937
Ga 4.900 4.900 2.937
Ga 4.900 2.937 4.900
Ga 2.937 4.900 4.900
```

Entry 8:
Computed, not measured: a relaxed structure of SmMg2Ga4 at the GGA-PBE level of DFT.

ΔE_f ... -0.369 eV/atom
Symmetry ... No. 71
Size of the total moment ... 0.0 Bohr magnetons per cell
Fermi-level density of states ... 0.502 states/eV per atom
V ... 21.22 Å³/atom

Structure (extended XYZ):
```
7
Lattice="-2.082 2.099 8.499 2.082 -2.099 8.499 2.082 2.099 -8.499" Properties=species:S:1:pos:R:3 pbc="T T T"
Sm 0.000 0.000 0.000
Mg 2.082 0.000 3.151
Mg 0.000 2.099 5.348
Ga 2.082 0.000 5.879
Ga 0.000 0.000 7.270
Ga 0.000 0.000 9.728
Ga 0.000 2.099 2.620
```